# LiScH2

An optimized crystal structure of LiScH2 (PBE, the Alexandria database). Values from VASP.

Summary:
- size of the total moment (μB/cell) = 0.00
- space group = R-3m, No. 166
- relative energy among the computed polymorphs (eV per atom) = 0.000
- calculated volume (Å³/cell) = 125

Quantum ESPRESSO input file:
```
&SYSTEM
  ibrav = 0, nat = 12, ntyp = 3
/
ATOMIC_SPECIES
Li 6.94 Li.upf
Sc 44.96 Sc.upf
H 1.01 H.upf
ATOMIC_POSITIONS angstrom
Li 0.000 0.000 0.000
Li 0.000 1.763 10.306
Li 1.527 0.881 5.153
Sc 0.000 0.000 7.730
Sc 0.000 1.763 2.577
Sc 1.527 0.881 12.883
H 0.000 0.000 3.844
H 0.000 0.000 11.615
H 0.000 1.763 6.462
H 0.000 1.763 14.150
H 1.527 0.881 1.309
H 1.527 0.881 8.997
CELL_PARAMETERS angstrom
3.054 0.000 0.000
-1.527 2.644 0.000
0.000 0.000 15.459
```